[1]
This record from the Alexandria database describes a relaxed structure of Tb5YSb4. The functional is PBE.

Computed properties:
V ... 32.89 Å³/atom
Size of the total moment ... 0.0 μB per formula unit
DFT total energy ... -5.3591 eV per atom
Space-group type ... C2/m (12)

abc: 4.319 8.453 9.603
angles: 105.25 102.99 90.00
Positions (direct):
Tb 0.823 0.650 0.646
Tb 0.837 0.176 0.674
Tb 0.163 0.824 0.326
Tb 0.500 0.500 0.000
Tb 0.177 0.350 0.354
Y 0.500 0.000 0.000
Sb 0.331 0.912 0.661
Sb 0.992 0.743 0.985
Sb 0.669 0.088 0.339
Sb 0.008 0.257 0.015



[2]
This record from the Alexandria database describes a relaxed structure of ZrHgSbI2. The functional is PBE.

Computed properties:
V ... 36.86 Å³/atom
Size of the total moment ... 1.3 μB per formula unit
DFT total energy ... -2.4040 eV per atom
Space-group type ... P4/mmm (123)

abc: 5.720 5.720 5.633
angles: 90.00 90.00 90.00
Each line ends with the local moment (μB).
Positions (direct):
I 0.000 0.500 0.000  -0.06
I 0.500 0.000 0.000  -0.06
Sb 0.000 0.000 0.500  -0.23
Hg 0.000 0.000 0.000  0.01
Zr 0.500 0.500 0.500  1.30



[3]
This record from the Alexandria database describes a relaxed structure of HfZrCdAu2. The functional is PBE.

Computed properties:
V ... 26.71 Å³/atom
Size of the total moment ... 0.0 μB per formula unit
Energy of formation ... 4.009 eV per formula unit
Space-group type ... P4/mmm (123)

abc: 5.033 5.272 5.033
angles: 90.00 90.00 90.00
Positions (direct):
Hf 0.000 0.000 0.000
Au 0.000 0.000 0.500
Au 0.500 0.000 0.000
Zr 0.500 0.500 0.500
Cd 0.000 0.500 0.000



[4]
This record from the Alexandria database describes a relaxed structure of Ba2LaH2. The functional is PBE.

Computed properties:
V ... 29.82 Å³/atom
Size of the total moment ... 0.0 μB per formula unit
DFT total energy ... -3.0441 eV per atom
Space-group type ... P4/mbm (127)

abc: 7.516 7.516 5.280
angles: 90.00 90.00 90.00
Positions (direct):
H 0.234 0.734 0.000
H 0.734 0.766 0.000
H 0.766 0.266 0.000
H 0.266 0.234 0.000
Ba 0.171 0.671 0.500
Ba 0.671 0.829 0.500
Ba 0.829 0.329 0.500
Ba 0.329 0.171 0.500
La 0.000 0.000 0.000
La 0.500 0.500 0.000